## P
Compound: LiTcTe2
Source: Alexandria
Functional: PBE
Structure: relaxed

* Fermi-level density of states: 0.722 states/eV per atom
* total magnetization: 0.00 μB per cell

abc: 3.3355 3.3327 8.0218
angles: 65.49 90.00 90.00
Atoms (fractional coordinates):
Tc (0.5000, 0.7500, 0.7500)
Te (0.0000, 0.4754, 0.5248)
Te (0.0000, 0.0246, 0.9752)
Li (0.5000, 0.2500, 0.2500)


## Q
Compound: LiTcTe2
Source: Alexandria
Functional: PBE
Structure: relaxed

* Fermi-level density of states: 0.590 states/eV per atom
* total magnetization: 0.00 μB per cell

abc: 5.3093 3.6028 4.7335
angles: 77.28 90.00 90.00
Atoms (fractional coordinates):
Te (0.5000, 0.4159, 0.3369)
Te (0.0000, 0.8290, 0.9249)
Li (0.0000, 0.4539, 0.4958)
Tc (0.5000, 0.8012, 0.7424)


## R
Compound: LiTcTe2
Source: Alexandria
Functional: PBE
Structure: relaxed

* Fermi-level density of states: 0.473 states/eV per atom
* total magnetization: 1.85 μB per cell

abc: 8.7724 8.7724 8.7724
angles: 25.49 25.49 25.49
Atoms (fractional coordinates):
Te (0.8952, 0.8952, 0.8952)
Te (0.1048, 0.1048, 0.1048)
Li (0.0000, 0.0000, 0.0000)
Tc (0.5000, 0.5000, 0.5000)


The computed energies, referenced to the most stable structure and given in kJ/mol of atoms, are P 1.3; Q 5.0; R 0.0.